# HgI2O2, optimized geometry, DFT PBE
# Formation energy without anion corrections = 1.023 eV per atom
# Energy relative to the lowest polymorph listed for this composition = 0.985 eV/atom
# Total energy = -8.21 eV for the cell shown
# N(E_F) = 14.341 states/eV/f.u.
# Theoretical density = 5.70 g/cm³
data_HgI2O2
_chemical_formula_sum 'Hg1 I2 O2'
_space_group_name_H-M_alt 'P 4/m m m'
_space_group_IT_number 123
_space_group_name_Hall '-P 4 2'
_cell_length_a 5.928
_cell_length_b 5.928
_cell_length_c 4.035
_cell_angle_alpha 90.00
_cell_angle_beta 90.00
_cell_angle_gamma 90.00
loop_
_atom_site_label
_atom_site_fract_x
_atom_site_fract_y
_atom_site_fract_z
Hg1 0.000 0.000 0.000
I1 0.000 0.500 0.000
O1 0.000 0.000 0.500
O2 0.500 0.500 0.500

***

# Co2TcPt, optimized geometry, DFT PBE
# Energy relative to the lowest polymorph listed for this composition = 0.531 eV/atom
# Total energy = -114.18 eV for the cell shown
# Formation enthalpy at 0 K = 0.52 eV per atom
# N(E_F) = 8.211 states/eV/f.u.
# Theoretical density = 12.16 g/cm³
data_Co2TcPt
_chemical_formula_sum 'Co8 Tc4 Pt4'
_space_group_name_H-M_alt 'I -4 2 d'
_space_group_IT_number 122
_space_group_name_Hall 'I -4 2bw'
_cell_length_a 6.504
_cell_length_b 6.504
_cell_length_c 5.306
_cell_angle_alpha 90.00
_cell_angle_beta 90.00
_cell_angle_gamma 90.00
loop_
_atom_site_label
_atom_site_fract_x
_atom_site_fract_y
_atom_site_fract_z
Co1 0.225 0.250 0.125
Tc1 0.000 0.000 0.000
Pt1 0.000 0.000 0.500

***

# PuMn2V, optimized geometry, DFT PBE
# Energy relative to the lowest polymorph listed for this composition = 0.132 eV/atom
# Total energy = -41.29 eV for the cell shown
# Formation enthalpy at 0 K = 0.12 eV per atom
# N(E_F) = 6.501 states/eV/f.u.
# Theoretical density = 11.10 g/cm³
data_PuMn2V
_chemical_formula_sum 'Pu1 Mn2 V1'
_space_group_name_H-M_alt 'P 4/m m m'
_space_group_IT_number 123
_space_group_name_Hall '-P 4 2'
_cell_length_a 4.529
_cell_length_b 4.529
_cell_length_c 2.951
_cell_angle_alpha 90.00
_cell_angle_beta 90.00
_cell_angle_gamma 90.00
loop_
_atom_site_label
_atom_site_fract_x
_atom_site_fract_y
_atom_site_fract_z
Pu1 0.000 0.000 0.000
Mn1 0.000 0.500 0.500
V1 0.500 0.500 0.000

***

# Pm6Ru2Pb3, optimized geometry, DFT PBE
# Total energy = -121.63 eV for the cell shown
# Formation enthalpy at 0 K = -0.24 eV per atom
# N(E_F) = 8.607 states/eV/f.u.
# Theoretical density = 8.50 g/cm³
data_Pm6Ru2Pb3
_chemical_formula_sum 'Pm12 Ru4 Pb6'
_space_group_name_H-M_alt 'I 4/m m m'
_space_group_IT_number 139
_space_group_name_Hall '-I 4 2'
_cell_length_a 5.194
_cell_length_b 5.194
_cell_length_c 24.519
_cell_angle_alpha 90.00
_cell_angle_beta 90.00
_cell_angle_gamma 90.00
loop_
_atom_site_label
_atom_site_fract_x
_atom_site_fract_y
_atom_site_fract_z
Pm1 0.000 0.000 0.192
Pm2 0.000 0.500 0.084
Ru1 0.000 0.000 0.056
Pb1 0.000 0.000 0.322
Pb2 0.000 0.000 0.500

***

# Na2TbMg3F12, optimized geometry, DFT PBE
# Formation energy without anion corrections = -3.207 eV per atom
# Total energy = -276.70 eV for the cell shown
# N(E_F) = 7.208 states/eV/f.u.
# Theoretical density = 3.45 g/cm³
data_Na2TbMg3F12
_chemical_formula_sum 'Na6 Tb3 Mg9 F36'
_space_group_name_H-M_alt 'R -3 m'
_space_group_IT_number 166
_space_group_name_Hall '-R 3 2"'
_cell_length_a 7.3489
_cell_length_b 7.3489
_cell_length_c 15.6040
_cell_angle_alpha 90.00
_cell_angle_beta 90.00
_cell_angle_gamma 120.00
loop_
_atom_site_label
_atom_site_fract_x
_atom_site_fract_y
_atom_site_fract_z
Na1 0.0000 0.0000 0.1263
Tb1 0.0000 0.0000 0.5000
Mg1 0.0000 0.5000 0.0000
F1 0.0344 0.5172 0.8708
F2 0.0895 0.5448 0.3029

***

# Al2FeRe, optimized geometry, DFT PBE
# Energy relative to the lowest polymorph listed for this composition = 0.014 eV/atom
# Total energy = -29.05 eV for the cell shown
# Formation enthalpy at 0 K = -0.16 eV per atom
# N(E_F) = 4.904 states/eV/f.u.
# Theoretical density = 9.41 g/cm³
data_Al2FeRe
_chemical_formula_sum 'Al2 Fe1 Re1'
_space_group_name_H-M_alt 'P 4/m m m'
_space_group_IT_number 123
_space_group_name_Hall '-P 4 2'
_cell_length_a 2.892
_cell_length_b 2.892
_cell_length_c 6.242
_cell_angle_alpha 90.00
_cell_angle_beta 90.00
_cell_angle_gamma 90.00
loop_
_atom_site_label
_atom_site_fract_x
_atom_site_fract_y
_atom_site_fract_z
Al1 0.000 0.000 0.219
Fe1 0.500 0.500 0.000
Re1 0.500 0.500 0.500

***

# CaCeGa4, optimized geometry, DFT PBE
# Energy relative to the lowest polymorph listed for this composition = 0.084 eV/atom
# Total energy = -90.88 eV for the cell shown
# Formation enthalpy at 0 K = -0.45 eV per atom
# N(E_F) = 8.114 states/eV/f.u.
# Theoretical density = 6.14 g/cm³
data_CaCeGa4
_chemical_formula_sum 'Ca4 Ce4 Ga16'
_space_group_name_H-M_alt 'F -4 3 m'
_space_group_IT_number 216
_space_group_name_Hall 'F -4 2 3'
_cell_length_a 7.921
_cell_length_b 7.921
_cell_length_c 7.921
_cell_angle_alpha 90.00
_cell_angle_beta 90.00
_cell_angle_gamma 90.00
loop_
_atom_site_label
_atom_site_fract_x
_atom_site_fract_y
_atom_site_fract_z
Ca1 0.000 0.000 0.000
Ce1 0.250 0.250 0.250
Ga1 0.124 0.124 0.624

***

# BPPdCl2, optimized geometry, DFT PBE
# Formation energy without anion corrections = 1.067 eV per atom
# Energy relative to the lowest polymorph listed for this composition = 0.312 eV/atom
# Total energy = -15.64 eV for the cell shown
# N(E_F) = 3.364 states/eV/f.u.
# Theoretical density = 3.20 g/cm³
data_BPPdCl2
_chemical_formula_sum 'B1 P1 Pd1 Cl2'
_space_group_name_H-M_alt 'P 4/m m m'
_space_group_IT_number 123
_space_group_name_Hall '-P 4 2'
_cell_length_a 4.982
_cell_length_b 4.982
_cell_length_c 4.587
_cell_angle_alpha 90.00
_cell_angle_beta 90.00
_cell_angle_gamma 90.00
loop_
_atom_site_label
_atom_site_fract_x
_atom_site_fract_y
_atom_site_fract_z
B1 0.000 0.000 0.000
P1 0.500 0.500 0.000
Pd1 0.500 0.500 0.500
Cl1 0.000 0.500 0.500

***

# Th2GeS, optimized geometry, DFT PBE
# Formation energy without anion corrections = -1.188 eV per atom
# Energy relative to the lowest polymorph listed for this composition = 0.140 eV/atom
# Total energy = -85.01 eV for the cell shown
# N(E_F) = 1.973 states/eV/f.u.
# Theoretical density = 8.91 g/cm³
data_Th2GeS
_chemical_formula_sum 'Th6 Ge3 S3'
_space_group_name_H-M_alt 'R 3 m'
_space_group_IT_number 160
_space_group_name_Hall 'R 3 -2"'
_cell_length_a 4.0871
_cell_length_b 4.0871
_cell_length_c 21.9946
_cell_angle_alpha 90.00
_cell_angle_beta 90.00
_cell_angle_gamma 120.00
loop_
_atom_site_label
_atom_site_fract_x
_atom_site_fract_y
_atom_site_fract_z
Th1 0.0000 0.0000 0.0000
Th2 0.0000 0.0000 0.1748
Ge1 0.0000 0.0000 0.5863
S1 0.0000 0.0000 0.7553

***

# ErSnI, optimized geometry, DFT PBE
# Formation energy without anion corrections = -0.822 eV per atom
# Total energy = -25.17 eV for the cell shown
# N(E_F) = 0.824 states/eV/f.u.
# Theoretical density = 6.40 g/cm³
data_ErSnI
_chemical_formula_sum 'Er2 Sn2 I2'
_space_group_name_H-M_alt 'P -1'
_space_group_IT_number 2
_space_group_name_Hall '-P 1'
_cell_length_a 4.158
_cell_length_b 4.393
_cell_length_c 11.910
_cell_angle_alpha 89.96
_cell_angle_beta 80.20
_cell_angle_gamma 90.00
loop_
_atom_site_label
_atom_site_fract_x
_atom_site_fract_y
_atom_site_fract_z
Er1 0.076 0.250 0.343
Sn1 0.460 0.250 0.583
I1 0.330 0.749 0.849

***

# NiAg2Ru, optimized geometry, DFT PBE
# Energy relative to the lowest polymorph listed for this composition = 0.164 eV/atom
# Total energy = -57.11 eV for the cell shown
# Formation enthalpy at 0 K = 0.43 eV per atom
# N(E_F) = 5.175 states/eV/f.u.
# Theoretical density = 10.30 g/cm³
data_NiAg2Ru
_chemical_formula_sum 'Ni3 Ag6 Ru3'
_space_group_name_H-M_alt 'R -3 m'
_space_group_IT_number 166
_space_group_name_Hall '-R 3 2"'
_cell_length_a 2.7530
_cell_length_b 2.7530
_cell_length_c 27.6741
_cell_angle_alpha 90.00
_cell_angle_beta 90.00
_cell_angle_gamma 120.00
loop_
_atom_site_label
_atom_site_fract_x
_atom_site_fract_y
_atom_site_fract_z
Ni1 0.0000 0.0000 0.0000
Ag1 0.0000 0.0000 0.2536
Ru1 0.0000 0.0000 0.5000

***

# NdDyPb, optimized geometry, DFT PBE
# Energy relative to the lowest polymorph listed for this composition = 0.530 eV/atom
# Total energy = -51.36 eV for the cell shown
# Formation enthalpy at 0 K = 0.08 eV per atom
# N(E_F) = 3.934 states/eV/f.u.
# Theoretical density = 7.65 g/cm³
data_NdDyPb
_chemical_formula_sum 'Nd4 Dy4 Pb4'
_space_group_name_H-M_alt 'C m c m'
_space_group_IT_number 63
_space_group_name_Hall '-C 2c 2'
_cell_length_a 5.504
_cell_length_b 22.521
_cell_length_c 3.598
_cell_angle_alpha 90.00
_cell_angle_beta 90.00
_cell_angle_gamma 90.00
loop_
_atom_site_label
_atom_site_fract_x
_atom_site_fract_y
_atom_site_fract_z
Nd1 0.000 0.071 0.250
Dy1 0.000 0.220 0.250
Pb1 0.000 0.351 0.750